Here is an optimized crystal structure of NaVO2 from Alexandria via LeMat-Bulk. Energies are from PBE with a Hubbard U.

energy	-6.486	eV per atom
total magnetization	2.00	μB per formula unit
crystal system	tetragonal

Geometry as extended XYZ:
```
8
Lattice="-2.6604 2.6604 4.0547 2.6604 -2.6604 4.0547 2.6604 2.6604 -4.0547" Properties=species:S:1:pos:R:3 pbc="T T T"
Na 0.0000 0.0000 0.0000
Na 0.0000 2.6604 2.0274
V 2.6604 0.0000 2.0274
V 0.0000 0.0000 4.0547
O 1.3302 -0.9760 3.0411
O 1.6844 1.3302 1.0137
O 1.3302 3.6364 -1.0137
O 0.9760 1.3302 5.0684
```